i.
Computed, not measured: a relaxed KLaCu crystal at the PBE-GGA level of DFT.

Values from the calculation:
Magnetic moment (μB/cell): 0.0

The structure in CIF format:
```
data_KLaCu
_chemical_formula_sum 'K2 La2 Cu2'
_symmetry_space_group_name_H-M 'P 1'
_symmetry_Int_Tables_number 1
_cell_length_a 3.874
_cell_length_b 7.143
_cell_length_c 8.067
_cell_angle_alpha 78.85
_cell_angle_beta 89.39
_cell_angle_gamma 89.97
loop_
_symmetry_equiv_pos_as_xyz
'x,y,z'
loop_
_atom_site_label
_atom_site_type_symbol
_atom_site_fract_x
_atom_site_fract_y
_atom_site_fract_z
K1 K 0.000 0.000 0.000
K2 K 0.491 0.502 0.934
La1 La 0.501 0.090 0.513
La2 La 0.503 0.610 0.423
Cu1 Cu 0.998 0.366 0.634
Cu2 Cu 0.998 0.765 0.634
```

=====

ii.
Computed, not measured: a relaxed KLaCu crystal at the PBE-GGA level of DFT.

Values from the calculation:
Magnetic moment (μB/cell): 0.0

The structure in CIF format:
```
data_KLaCu
_chemical_formula_sum 'K4 La4 Cu4'
_symmetry_space_group_name_H-M 'F -4 3 m'
_symmetry_Int_Tables_number 216
_symmetry_space_group_name_Hall 'F -4 2 3'
_cell_length_a 7.398
_cell_length_b 7.398
_cell_length_c 7.398
_cell_angle_alpha 90.00
_cell_angle_beta 90.00
_cell_angle_gamma 90.00
loop_
_atom_site_label
_atom_site_type_symbol
_atom_site_fract_x
_atom_site_fract_y
_atom_site_fract_z
K1 K 0.000 0.000 0.000
La1 La 0.000 0.000 0.500
Cu1 Cu 0.250 0.250 0.250
```

=====

iii.
Computed, not measured: a relaxed KLaCu crystal at the PBE-GGA level of DFT.

Values from the calculation:
Magnetic moment (μB/cell): 0.0

The structure in CIF format:
```
data_KLaCu
_chemical_formula_sum 'K4 La4 Cu4'
_symmetry_space_group_name_H-M 'C 1 m 1'
_symmetry_Int_Tables_number 8
_cell_length_a 14.290
_cell_length_b 4.079
_cell_length_c 8.532
_cell_angle_alpha 90.00
_cell_angle_beta 114.45
_cell_angle_gamma 90.00
loop_
_symmetry_equiv_pos_as_xyz
'x,y,z'
'x,-y,z'
'x+1/2,y+1/2,z'
'x+1/2,-y+1/2,z'
loop_
_atom_site_label
_atom_site_type_symbol
_atom_site_fract_x
_atom_site_fract_y
_atom_site_fract_z
K1 K 0.000 0.000 0.000
K2 K 0.242 0.000 0.909
La1 La 0.229 0.500 0.443
La2 La 0.467 0.000 0.521
Cu1 Cu 0.071 0.000 0.410
Cu2 Cu 0.372 0.500 0.265
```

=====

Stability comparison, relative energies in eV/atom: i 0.000; ii 0.272; iii 0.028